Entry 1:
Material: Sb2HPtI
Method: DFT, PBE
State: relaxed

Properties
Raw total energy   -15.838 eV for the cell shown
Total magnetization   0.00 μB/f.u.

The structure in POSCAR format:
```
Sb2HPtI
1.0
4.3782 0.0000 0.0000
0.0000 4.3782 0.0000
0.0000 0.0000 5.4257
Sb H Pt I
2 1 1 1
Cartesian
0.0000 2.1891 0.0000
2.1891 0.0000 0.0000
0.0000 0.0000 0.0000
2.1891 2.1891 2.7128
0.0000 0.0000 2.7128
```

Entry 2:
Material: Li2ZrCl
Method: DFT, PBE
State: relaxed

Properties
Raw formation energy   -0.332 eV per atom
Total magnetization   0.00 μB/f.u.

The structure in POSCAR format:
```
Li2ZrCl
1.0
9.9481 0.0000 0.0000
0.0000 2.9984 0.0000
-2.4384 0.0000 5.0132
Li Zr Cl
4 2 2
Cartesian
0.0000 0.0000 0.0000
0.1554 0.0000 3.9532
4.9740 1.4992 0.0000
5.1295 1.4992 3.9532
2.2737 1.4992 1.8921
7.2478 0.0000 1.8921
-0.3442 1.4992 1.9414
4.6298 0.0000 1.9414
```

Entry 3:
Material: PAuC2
Method: DFT, PBE
State: relaxed

Properties
Raw total energy   -24.045 eV for the cell shown
Total magnetization   0.00 μB/f.u.

The structure in POSCAR format:
```
PAuC2
1.0
2.9602 0.0000 0.0000
0.0000 3.2442 0.0000
0.0000 0.0000 6.2029
P Au C
1 1 2
Cartesian
0.0000 0.0000 0.0000
0.0000 0.0000 2.4074
1.4801 0.0000 3.8257
1.4801 0.0000 5.1723
```

Entry 4:
Material: TlCuRhSe3
Method: DFT, PBE
State: relaxed

Properties
Raw formation energy   -0.325 eV per atom
Total magnetization   0.00 μB/f.u.

The structure in POSCAR format:
```
TlCuRhSe3
1.0
7.9306 0.0000 0.0000
0.0000 3.8280 0.0000
-3.8853 0.0000 9.0628
Tl Cu Rh Se
2 2 2 6
Cartesian
1.0955 0.9570 1.9547
2.9499 2.8710 7.1081
-0.1553 0.9570 8.1767
4.2006 2.8710 0.8861
-1.1032 2.8710 5.9310
5.1486 0.9570 3.1319
-1.1582 2.8710 3.4436
-1.6548 2.8710 8.4681
0.5885 0.9570 5.8866
3.4568 2.8710 3.1762
5.7001 0.9570 0.5948
5.2036 0.9570 5.6193
```

Entry 5:
Material: PrGePdN
Method: DFT, PBE
State: relaxed

Properties
Raw formation energy   -0.852 eV per atom
Total magnetization   0.00 μB/f.u.

The structure in POSCAR format:
```
PrGePdN
1.0
3.9520 0.0000 0.0000
0.0000 3.9520 0.0000
0.0000 0.0000 8.9680
Pr Ge Pd N
2 2 2 2
Cartesian
0.9880 0.9880 1.2985
2.9640 2.9640 7.6695
0.9880 0.9880 6.0124
2.9640 2.9640 2.9557
0.9880 2.9640 4.4840
2.9640 0.9880 4.4840
0.9880 0.9880 7.9058
2.9640 2.9640 1.0622
```

Entry 6:
Material: Dy2Y2Ru3
Method: DFT, PBE
State: relaxed

Properties
Raw total energy   -103.490 eV for the cell shown
Total magnetization   0.00 μB/f.u.

The structure in POSCAR format:
```
Dy2Y2Ru3
1.0
8.4934 0.0000 0.0000
0.0000 4.9040 0.0000
-2.8020 0.0000 7.5060
Dy Y Ru
4 4 6
Cartesian
0.0072 0.0000 2.8386
1.4375 2.4520 4.6674
4.2539 2.4520 2.8386
5.6842 0.0000 4.6674
-1.3882 2.4520 6.5282
2.8329 0.0000 0.9778
2.8585 0.0000 6.5282
7.0796 2.4520 0.9778
0.0000 0.0000 0.0000
1.4199 2.4520 1.8634
0.0248 0.0000 5.6425
4.2467 2.4520 0.0000
5.6666 0.0000 1.8634
4.2715 2.4520 5.6425
```

Entry 7:
Material: AcTb6Sm2Er
Method: DFT, PBE
State: relaxed

Properties
Raw total energy   -89.261 eV for the cell shown
Total magnetization   0.00 μB/f.u.

The structure in POSCAR format:
```
AcTb6Sm2Er
1.0
4.6078 -7.6903 0.0000
4.6078 7.6903 0.0000
-0.9395 0.0000 9.5682
Ac Tb Sm Er
2 12 4 2
Cartesian
3.9032 7.2970 7.1762
4.3729 -7.2970 2.3921
2.0196 4.1867 6.5560
4.0017 4.7291 0.5491
4.7441 4.7291 4.2350
2.8245 1.6632 8.4523
5.7867 4.1867 7.7964
4.9819 1.6632 5.9001
3.2942 -1.6632 3.6682
2.4894 -4.1867 1.7719
5.4516 -1.6632 1.1159
3.5320 -4.7291 5.3332
4.2744 -4.7291 9.0191
6.2564 -4.1867 3.0122
1.8657 0.8907 5.2347
2.3354 -0.8907 0.4506
5.9406 0.8907 9.1177
6.4104 -0.8907 4.3336
4.3729 1.3669 2.3921
3.9032 -1.3669 7.1762
```

Entry 8:
Material: BaHg5Au3
Method: DFT, PBE
State: relaxed

Properties
Raw total energy   -29.910 eV for the cell shown
Total magnetization   0.00 μB/f.u.

The structure in POSCAR format:
```
BaHg5Au3
1.0
2.2661 -7.4069 0.0000
2.2661 7.4069 0.0000
0.0000 0.0000 14.1890
Ba Hg Au
2 10 6
Cartesian
2.2661 4.8157 10.6417
2.2661 -4.8157 3.5472
0.0000 0.0000 0.0000
0.0000 0.0000 7.0945
2.2661 4.4910 0.7936
2.2661 4.4910 6.3009
2.2661 0.9019 9.1641
2.2661 0.9019 12.1194
2.2661 -0.9019 2.0696
2.2661 -0.9019 5.0249
2.2661 -4.4910 7.8881
2.2661 -4.4910 13.3953
2.2661 5.2848 3.5472
2.2661 1.7238 1.0505
2.2661 1.7238 6.0440
2.2661 -1.7238 8.1450
2.2661 -1.7238 13.1384
2.2661 -5.2848 10.6417
```

total magnetization of number 2 (Li2ZrCl)? 0.00 μB/f.u.